No. 1
Below is an optimized crystal structure of Li2Si2Pd, with properties calculated at the GGA-PBE level.

a b c (Å): 4.1106 5.1293 5.1293
angles (deg): 56.46 66.38 66.38
Fractional positions:
Si  0.5000  0.7365  0.2635
Pd  0.0000  0.0000  0.0000
Li  0.1890  0.3110  0.3110
Si  0.5000  0.2635  0.7365
Li  0.8110  0.6890  0.6890

The calculation puts the uncorrected formation energy at -36.9 kJ per mole of atoms. Its space group is Immm, No. 71.

---

No. 2
Below is an optimized crystal structure of Li2Si3Pd5, with properties calculated at the GGA-PBE level.

a b c (Å): 3.9634 6.0162 12.5532
angles (deg): 90.00 99.08 90.00
Fractional positions:
Si  0.0434  0.0040  0.0868
Li  0.5146  0.2885  0.0293
Si  0.9566  0.5040  0.9132
Li  0.1664  0.7217  0.3327
Pd  0.2891  0.4556  0.5783
Si  0.6073  0.5079  0.2146
Si  0.7800  0.6846  0.5600
Si  0.3927  0.0079  0.7854
Pd  0.0514  0.6062  0.1028
Pd  0.8763  0.7497  0.7526
Pd  0.9486  0.1062  0.8972
Li  0.4854  0.7885  0.9707
Pd  0.7032  0.4310  0.4064
Li  0.8336  0.2217  0.6673
Pd  0.1237  0.2497  0.2474
Pd  0.2968  0.9310  0.5936
Pd  0.7109  0.9556  0.4217
Pd  0.5956  0.9156  0.1913
Pd  0.4044  0.4156  0.8087
Si  0.2200  0.1846  0.4400

The calculation puts the uncorrected formation energy at -60.5 kJ per mole of atoms. Its space group is Cmc2_1, No. 36.

---

No. 3
Below is an optimized crystal structure of Li2SiPd6, with properties calculated at the GGA-PBE level.

a b c (Å): 5.0163 5.7664 5.7664
angles (deg): 59.84 89.79 89.79
Fractional positions:
Si  0.0000  0.0000  0.0000
Li  0.8054  0.6664  0.6664
Pd  0.2867  0.3513  0.8248
Pd  0.2868  0.8239  0.8239
Pd  0.7133  0.1752  0.6487
Pd  0.7132  0.1761  0.1761
Li  0.1946  0.3336  0.3336
Pd  0.2867  0.8248  0.3513
Pd  0.7133  0.6487  0.1752

The calculation puts the uncorrected formation energy at -35.1 kJ per mole of atoms. Its space group is C2/m, No. 12. As for the energy above the most stable polymorph in this dataset: 0.082 eV/atom.

---

No. 4
Below is an optimized crystal structure of Li2Si2Pd, with properties calculated at the GGA-PBE level.

a b c (Å): 6.1992 6.1992 4.0531
angles (deg): 90.00 90.00 90.00
Fractional positions:
Li  0.1709  0.6709  0.5000
Si  0.6315  0.1315  0.0000
Pd  0.5000  0.5000  0.0000
Si  0.8685  0.6315  0.0000
Li  0.3291  0.1709  0.5000
Li  0.8291  0.3291  0.5000
Pd  0.0000  0.0000  0.0000
Si  0.1315  0.3685  0.0000
Li  0.6709  0.8291  0.5000
Si  0.3685  0.8685  0.0000

The calculation puts the uncorrected formation energy at -37.6 kJ per mole of atoms. Its space group is P4/mbm, No. 127.